Material: KTl2B
Method: DFT, PBE
State: relaxed

Summary:
total DFT energy (no corrections)	-2.536	eV/atom
symmetry	I4_1/amd
E_form	0.591	eV per atom
N(E_F)	3.35	states/eV per cell
calculated density	5392	kg/m³
polymorph energy (0 for the lowest one)	0.0000	eV per atom

abc: 7.379 7.379 7.358
angles: 59.91 59.91 90.00
Fractional coordinates of all 8 atoms:
1 Tl 0.376 0.625 0.250
2 Tl 0.875 0.624 0.750
3 Tl 0.374 0.125 0.250
4 Tl 0.375 0.626 0.750
5 K 0.000 0.000 0.000
6 K 0.750 0.250 0.500
7 B 0.250 0.750 0.500
8 B 0.500 0.500 0.000